[1]
Entry from Alexandria: ZrTc2Se after structural relaxation (GGA-PBEsol).

Results
**E**: -9.055 eV per atom
**D(E_F)**: 3.227 states/eV/f.u.

Unit cell a=3.061 b=4.098 c=5.248 alpha=90.00 beta=103.08 gamma=90.00
Space group Pm (No. 6)
Inequivalent atoms, fractional coordinates:
Zr 0.000 0.000 0.000 [1 per cell]
Tc 0.312 0.500 0.707 [1 per cell]
Tc 0.635 0.000 0.503 [1 per cell]
Se 0.584 0.500 0.211 [1 per cell]



[2]
Entry from Alexandria: TeSe3 after structural relaxation (GGA-PBEsol).

Results
**E**: -3.359 eV per atom
**Excess energy over the best structure of this formula in the dataset**: 228 meV/atom
**D(E_F)**: 3.697 states/eV/f.u.

Unit cell a=5.531 b=5.531 c=5.531 alpha=90.00 beta=90.00 gamma=90.00
Space group Pm-3n (No. 223)
Inequivalent atoms, fractional coordinates:
Te 0.000 0.000 0.000 [2 per cell]
Se 0.000 0.250 0.500 [6 per cell]



[3]
Entry from Alexandria: TeSe3 after structural relaxation (GGA-PBEsol).

Results
**E**: -3.420 eV per atom
**Excess energy over the best structure of this formula in the dataset**: 168 meV/atom
**D(E_F)**: 2.624 states/eV/f.u.

Unit cell a=6.959 b=6.959 c=6.959 alpha=90.00 beta=90.00 gamma=90.00
Space group Fm-3m (No. 225)
Inequivalent atoms, fractional coordinates:
Te 0.000 0.000 0.000 [4 per cell]
Se 0.000 0.000 0.500 [4 per cell]
Se 0.250 0.250 0.250 [8 per cell]



[4]
Entry from Alexandria: TeSe3 after structural relaxation (GGA-PBEsol).

Results
**E**: -3.588 eV per atom
**Excess energy over the best structure of this formula in the dataset**: 0 meV/atom
**D(E_F)**: 2.754 states/eV/f.u.

Unit cell a=3.826 b=7.405 c=7.605 alpha=90.00 beta=90.00 gamma=90.00
Space group Cmmm (No. 65)
Inequivalent atoms, fractional coordinates:
Te 0.000 0.000 0.000 [2 per cell]
Se 0.000 0.000 0.500 [2 per cell]
Se 0.000 0.500 0.262 [4 per cell]



[5]
Entry from Alexandria: TeSe3 after structural relaxation (GGA-PBEsol).

Results
**E**: -3.472 eV per atom
**Excess energy over the best structure of this formula in the dataset**: 116 meV/atom
**D(E_F)**: 2.185 states/eV/f.u.

Unit cell a=4.273 b=4.710 c=9.319 alpha=90.00 beta=90.00 gamma=90.00
Space group Immm (No. 71)
Inequivalent atoms, fractional coordinates:
Te 0.000 0.000 0.000 [2 per cell]
Se 0.000 0.000 0.500 [2 per cell]
Se 0.000 0.500 0.183 [4 per cell]



[6]
Entry from Alexandria: TiTe2Se after structural relaxation (GGA-PBEsol).

Results
**E**: -4.663 eV per atom
**D(E_F)**: 5.069 states/eV/f.u.

Unit cell a=6.562 b=6.562 c=12.050 alpha=90.00 beta=90.00 gamma=90.00
Space group I-42d (No. 122)
Inequivalent atoms, fractional coordinates:
Ti 0.000 0.000 0.000 [4 per cell]
Te 0.208 0.250 0.125 [8 per cell]
Se 0.000 0.000 0.500 [4 per cell]



no.,raw formation energy (meV/atom)
1,-186
2,410
3,349
4,182
5,298
6,143